1.
Below is a crystal of Na2Ga2Pd relaxed with PBEsol, with properties calculated at the SCAN level.

Results
The value obtained for the density of states at the Fermi level is 0.358 states/eV per atom. Its energy of formation from the pure elements is -0.268 eV/atom. The calculation puts the total energy at -75.2 eV per formula unit.

Cell and atoms, written as CIF:
```
data_Na2Ga2Pd
_chemical_formula_sum 'Na4 Ga4 Pd2'
_space_group_name_H-M_alt 'P 4/m b m'
_space_group_IT_number 127
_space_group_name_Hall '-P 4 2ab'
_cell_length_a 6.450
_cell_length_b 6.450
_cell_length_c 5.005
_cell_angle_alpha 90.00
_cell_angle_beta 90.00
_cell_angle_gamma 90.00
loop_
_atom_site_label
_atom_site_fract_x
_atom_site_fract_y
_atom_site_fract_z
_atom_site_occupancy
Na1 0.181 0.319 0.000 1
Ga1 0.141 0.641 0.500 1
Pd1 0.000 0.000 0.500 1
```

***

2.
Below is a crystal of Na2GaRePd relaxed with PBEsol, with properties calculated at the SCAN level.

Results
The value obtained for the density of states at the Fermi level is 0.629 states/eV per atom. Its energy of formation from the pure elements is 1.210 eV/atom. The calculation puts the total energy at -122.6 eV per formula unit.

Cell and atoms, written as CIF:
```
data_Na2GaRePd
_chemical_formula_sum 'Na2 Ga1 Re1 Pd1'
_space_group_name_H-M_alt 'P 4/m m m'
_space_group_IT_number 123
_space_group_name_Hall '-P 4 2'
_cell_length_a 5.040
_cell_length_b 5.040
_cell_length_c 4.707
_cell_angle_alpha 90.00
_cell_angle_beta 90.00
_cell_angle_gamma 90.00
loop_
_atom_site_label
_atom_site_fract_x
_atom_site_fract_y
_atom_site_fract_z
_atom_site_occupancy
Na1 0.000 0.500 0.000 1
Ga1 0.000 0.000 0.500 1
Re1 0.500 0.500 0.500 1
Pd1 0.000 0.000 0.000 1
```

***

3.
Below is a crystal of NaGaReW2 relaxed with PBEsol, with properties calculated at the SCAN level.

Results
The value obtained for the density of states at the Fermi level is 0.755 states/eV per atom. Its energy of formation from the pure elements is 3.148 eV/atom. The calculation puts the total energy at -215.3 eV per formula unit.

Cell and atoms, written as CIF:
```
data_NaGaReW2
_chemical_formula_sum 'Na1 Ga1 Re1 W2'
_space_group_name_H-M_alt 'P 4/m m m'
_space_group_IT_number 123
_space_group_name_Hall '-P 4 2'
_cell_length_a 4.435
_cell_length_b 4.435
_cell_length_c 4.468
_cell_angle_alpha 90.00
_cell_angle_beta 90.00
_cell_angle_gamma 90.00
loop_
_atom_site_label
_atom_site_fract_x
_atom_site_fract_y
_atom_site_fract_z
_atom_site_occupancy
Na1 0.000 0.000 0.000 1
Ga1 0.500 0.500 0.500 1
Re1 0.000 0.000 0.500 1
W1 0.000 0.500 0.000 1
```

***

4.
Below is a crystal of Na2Ga2Rh relaxed with PBEsol, with properties calculated at the SCAN level.

Results
The value obtained for the density of states at the Fermi level is 0.544 states/eV per atom. Its energy of formation from the pure elements is 0.427 eV/atom. The calculation puts the total energy at -72.8 eV per formula unit.

Cell and atoms, written as CIF:
```
data_Na2Ga2Rh
_chemical_formula_sum 'Na4 Ga4 Rh2'
_space_group_name_H-M_alt 'I 4/m m m'
_space_group_IT_number 139
_space_group_name_Hall '-I 4 2'
_cell_length_a 3.507
_cell_length_b 3.507
_cell_length_c 17.748
_cell_angle_alpha 90.00
_cell_angle_beta 90.00
_cell_angle_gamma 90.00
loop_
_atom_site_label
_atom_site_fract_x
_atom_site_fract_y
_atom_site_fract_z
_atom_site_occupancy
Na1 0.000 0.000 0.093 1
Ga1 0.000 0.500 0.250 1
Rh1 0.000 0.000 0.500 1
```